Entry 1:
First-principles (PBE) data for a relaxed structure of ZrAu2Se, as listed in the Alexandria database.

- E_form (uncorrected): -506.7 meV per atom
- Crystal system: tetragonal

The structure in extended XYZ format:
```
4
Lattice="3.5118 0.0000 0.0000 0.0000 3.5118 0.0000 0.0000 0.0000 6.4630" Properties=species:S:1:pos:R:3 pbc="T T T"
Zr 1.7559 1.7559 4.7310
Au 1.7559 1.7559 1.3992
Au 0.0000 0.0000 0.0477
Se 0.0000 0.0000 3.5165
```


Entry 2:
First-principles (PBE) data for a relaxed structure of CsNaFe2I8, as listed in the Alexandria database.

- E_form (uncorrected): -601.1 meV per atom
- Crystal system: trigonal

The structure in extended XYZ format:
```
12
Lattice="7.5221 0.0002 0.0000 -3.7612 6.5142 0.0000 0.0000 0.0000 11.0560" Properties=species:S:1:pos:R:3 pbc="T T T"
Fe 3.7610 2.1715 2.7024
Fe -0.0001 4.3429 8.3535
I -1.2336 2.2431 7.5557
I 3.7610 2.1715 0.1483
I -0.0001 4.3429 10.9077
I 4.9945 4.2713 3.5003
I -1.2018 6.4610 7.5557
I 2.4351 4.3245 7.5557
I 4.9627 0.0534 3.5003
I 1.3258 2.1899 3.5003
Cs 0.0000 0.0000 0.0000
Na 0.0000 0.0000 5.5280
```


Entry 3:
First-principles (PBE) data for a relaxed structure of TaTcAg2, as listed in the Alexandria database.

- Energy relative to the elements: 1.50 eV per formula unit
- Energy above the most stable polymorph in this dataset: 196 meV per atom
- Crystal system: monoclinic

The structure in extended XYZ format:
```
4
Lattice="-2.0958 4.2325 -1.2937 -3.9884 2.3323 -1.6225 -1.9597 1.1170 4.8265" Properties=species:S:1:pos:R:3 pbc="T T T"
Tc -2.0605 1.9607 0.5298
Ag -6.0491 5.7669 1.4935
Ag -8.0164 7.6622 1.8654
Ta -3.9836 3.8145 0.8871
```


Entry 4:
First-principles (PBE) data for a relaxed structure of NdScIn2, as listed in the Alexandria database.

- Energy relative to the elements: -1.83 eV per formula unit
- Crystal system: tetragonal

The structure in extended XYZ format:
```
4
Lattice="-1.2585 2.6591 2.2334 -2.7426 -2.2182 1.0956 4.3429 -2.6202 5.5667" Properties=species:S:1:pos:R:3 pbc="T T T"
In 0.9646 -0.5820 1.2364
In 3.3783 -2.0382 4.3303
Sc -2.0006 0.2204 1.6645
Nd 0.1709 -1.0896 4.4478
```


Entry 5:
First-principles (PBE) data for a relaxed structure of MnCoPPt2, as listed in the Alexandria database.

- Energy relative to the elements: 4.98 eV per formula unit
- Crystal system: tetragonal

The structure in extended XYZ format:
```
5
Lattice="4.6428 0.0000 0.0000 0.0000 4.1259 0.0000 0.0000 0.0000 4.6428" Properties=species:S:1:pos:R:3 pbc="T T T"
Pt 0.0000 0.0000 2.3214
Pt 2.3214 0.0000 0.0000
Co 2.3214 2.0630 2.3214
P 0.0000 2.0630 0.0000
Mn 0.0000 0.0000 0.0000
```


Entry 6:
First-principles (PBE) data for a relaxed structure of La2Tb2Pr4Ho, as listed in the Alexandria database.

- Energy relative to the elements: 0.09 eV per formula unit
- Crystal system: monoclinic

The structure in extended XYZ format:
```
9
Lattice="3.7083 0.0000 0.0000 -1.8542 9.5712 -0.4897 0.0000 -3.7929 9.0651" Properties=species:S:1:pos:R:3 pbc="T T T"
Pr 0.0000 2.2935 2.8371
Pr 1.8542 3.4847 5.7384
Pr 1.8542 -0.9165 3.0114
Pr 0.0000 6.6948 5.5641
La 0.0000 6.3994 -0.3117
La 1.8542 -0.6211 8.8871
Tb 0.0000 0.3024 5.9051
Tb 1.8542 5.4759 2.6703
Ho 0.0000 0.0000 0.0000
```


Entry 7:
First-principles (PBE) data for a relaxed structure of ThBeAlNi3, as listed in the Alexandria database.

- Energy relative to the elements: -1.57 eV per formula unit
- Crystal system: orthorhombic

The structure in extended XYZ format:
```
12
Lattice="-2.5083 4.1613 -1.9512 0.3085 -2.4572 -5.6370 -5.2007 -1.4046 3.6901" Properties=species:S:1:pos:R:3 pbc="T T T"
Th -4.8361 1.5791 -0.9530
Th -2.5644 -1.2796 -2.9450
Ni -4.9618 0.2044 -3.7232
Ni 0.2133 -1.6988 -3.8972
Ni -2.4387 0.0951 -0.1749
Ni -1.1589 1.3223 -2.7154
Ni 0.0952 -0.7584 -1.7398
Ni -1.0408 0.3818 -4.8728
Al -2.1857 2.9620 -1.4108
Al -5.2148 -2.6625 -2.4873
Be -2.9479 1.2553 -4.0710
Be -4.4526 -0.9558 0.1729
```


Entry 8:
First-principles (PBE) data for a relaxed structure of DyErScTl, as listed in the Alexandria database.

- Energy relative to the elements: -0.19 eV per formula unit
- Energy above the most stable polymorph in this dataset: 123 meV per atom
- Crystal system: cubic

The structure in extended XYZ format:
```
4
Lattice="-3.7977 3.1538 -2.0491 -5.1467 -1.3639 0.4685 -3.2138 2.7708 3.2500" Properties=species:S:1:pos:R:3 pbc="T T T"
Sc 0.0000 0.0000 0.0000
Tl -6.0791 2.2803 0.8348
Er -9.1187 3.4205 1.2521
Dy -3.0396 1.1402 0.4174
```


Entry 9:
First-principles (PBE) data for a relaxed structure of Ce12PaCo6, as listed in the Alexandria database.

- Energy relative to the elements: 0.27 eV per formula unit
- Crystal system: trigonal

The structure in extended XYZ format:
```
19
Lattice="-0.9210 6.1675 4.2734 -7.5311 0.4102 -0.5124 -1.6004 -3.5492 6.4800" Properties=species:S:1:pos:R:3 pbc="T T T"
Ce -4.4276 0.5391 1.0110
Ce -8.4512 0.0276 7.1838
Ce -2.7043 1.5376 5.9376
Ce -1.6013 3.0009 3.0573
Ce -5.6248 2.4894 9.2301
Ce -5.0105 3.0769 3.2187
Ce -4.7779 3.7297 6.1642
Ce -8.1608 4.1823 6.2402
Ce -5.2745 -0.7012 4.0768
Ce -7.3481 1.4909 4.3035
Ce -1.8916 -1.1538 4.0009
Ce -5.0419 -0.0484 7.0224
Co -7.1146 0.9586 2.0318
Co -2.9019 4.6281 5.0817
Co -2.9379 2.0699 8.2093
Co -7.1505 -1.5996 5.1594
Co -6.7178 4.5929 3.7529
Co -3.3346 -1.5644 6.4882
Pa 0.0000 0.0000 0.0000
```


Entry 10:
First-principles (PBE) data for a relaxed structure of TlCdPb, as listed in the Alexandria database.

- Energy relative to the elements: 0.13 eV per formula unit
- Energy above the most stable polymorph in this dataset: 18 meV per atom
- Crystal system: orthorhombic

The structure in extended XYZ format:
```
3
Lattice="-2.4203 -7.2784 4.0996 0.9439 -7.0045 4.5750 -1.8717 1.0000 2.6674" Properties=species:S:1:pos:R:3 pbc="T T T"
Tl -1.7366 -4.2222 4.7201
Pb -1.6115 -9.0613 6.6222
Cd -1.4764 -14.2821 8.6743
```


Entry 11:
First-principles (PBE) data for a relaxed structure of InCoMo2, as listed in the Alexandria database.

- Energy relative to the elements: 1.10 eV per formula unit
- Crystal system: orthorhombic

The structure in extended XYZ format:
```
4
Lattice="-3.0260 -0.2828 1.5092 1.6759 -2.3302 2.9236 0.8696 3.6780 2.4330" Properties=species:S:1:pos:R:3 pbc="T T T"
Mo 0.0000 0.0000 0.0000
Mo -0.6750 -1.3065 2.2164
In 1.2728 0.6739 2.6783
Co -1.0782 1.6976 1.9711
```


Entry 12:
First-principles (PBE) data for a relaxed structure of RbGeTe3, as listed in the Alexandria database.

- E_form (uncorrected): 1170.6 meV per atom
- Crystal system: cubic

The structure in extended XYZ format:
```
5
Lattice="-0.2463 -0.9886 -6.2969 -4.1119 -4.7904 0.9129 -4.8704 4.0943 -0.4523" Properties=species:S:1:pos:R:3 pbc="T T T"
Ge -4.6142 -0.8423 -2.9182
Te -0.1231 -0.4943 -3.1484
Te -2.0559 -2.3952 0.4564
Te -2.4352 2.0472 -0.2262
Rb 0.0000 0.0000 0.0000
```


Entry 13:
First-principles (PBE) data for a relaxed structure of SrHfPb2, as listed in the Alexandria database.

- Energy relative to the elements: 1.16 eV per formula unit
- Energy above the most stable polymorph in this dataset: 233 meV per atom
- Crystal system: tetragonal

The structure in extended XYZ format:
```
8
Lattice="-0.3588 -5.2030 -1.9563 5.2997 0.2712 -1.6932 5.4028 -5.9117 6.8018" Properties=species:S:1:pos:R:3 pbc="T T T"
Pb 5.3267 -6.3128 3.9175
Pb 8.9537 -8.7195 1.7233
Pb 4.6573 -1.3911 0.6111
Pb 1.7498 -5.2636 0.0526
Sr 2.4705 -2.4659 -1.8247
Sr 6.5865 -4.0532 1.6419
Hf 3.7572 -6.7903 1.5104
Hf 0.0000 0.0000 0.0000
```


Entry 14:
First-principles (PBE) data for a relaxed structure of HfUTcPd, as listed in the Alexandria database.

- Energy relative to the elements: -0.97 eV per formula unit
- Crystal system: cubic

The structure in extended XYZ format:
```
4
Lattice="-2.6764 -3.8435 0.8281 1.7874 -4.3458 -0.7351 0.9772 -2.8264 3.6984" Properties=species:S:1:pos:R:3 pbc="T T T"
Hf 0.0000 0.0000 0.0000
Pd 0.0661 -8.2618 2.8436
U 0.0441 -5.5079 1.8957
Tc 0.0220 -2.7539 0.9479
```


Entry 15:
First-principles (PBE) data for a relaxed structure of Tb2SmCu2, as listed in the Alexandria database.

- Energy relative to the elements: -0.50 eV per formula unit
- Energy above the most stable polymorph in this dataset: 42 meV per atom
- Crystal system: monoclinic

The structure in extended XYZ format:
```
10
Lattice="4.6654 0.0000 0.0000 0.0000 5.0060 -0.0243 0.0000 -1.2861 10.7159" Properties=species:S:1:pos:R:3 pbc="T T T"
Sm 3.4991 0.5697 8.1129
Sm 1.1664 3.1502 2.5788
Cu 1.1664 0.6123 10.6453
Cu 1.1664 3.1218 6.7750
Cu 3.4991 0.5981 3.9167
Cu 3.4991 3.1076 0.0464
Tb 3.4991 3.1119 5.2763
Tb 3.4991 0.6294 1.2226
Tb 1.1664 3.0905 9.4690
Tb 1.1664 0.6080 5.4153
```


Entry 16:
First-principles (PBE) data for a relaxed structure of Ac5InNi2, as listed in the Alexandria database.

- Energy relative to the elements: -1.82 eV per formula unit
- Crystal system: tetragonal

The structure in extended XYZ format:
```
16
Lattice="7.5886 0.0000 -3.5822 -1.6910 7.3978 -3.5822 -0.1957 -0.2455 9.4144" Properties=species:S:1:pos:R:3 pbc="T T T"
Ac 4.3296 7.1606 -3.7856
Ac 6.5540 3.4617 -2.6453
Ac -0.8521 3.6906 4.8953
Ac 0.8426 5.8164 -1.3436
Ac 1.3723 -0.0083 6.0356
Ac 2.6349 5.0348 2.4534
Ac 0.0000 0.0000 0.0000
Ac 3.0669 2.1175 -0.2034
Ac 4.8593 1.3359 3.5936
Ac 2.9488 3.6989 -3.5822
In 1.3766 1.7267 2.9161
In 4.3253 5.4256 -0.6661
Ni 1.3469 6.4490 -4.4545
Ni 4.5506 0.9488 -2.7099
Ni 0.3446 2.7501 -1.7911
Ni 5.5530 4.6476 -5.3733
```


Entry 17:
First-principles (PBE) data for a relaxed structure of BaPr3Tl2, as listed in the Alexandria database.

- Energy relative to the elements: -1.05 eV per formula unit
- Crystal system: monoclinic

The structure in extended XYZ format:
```
12
Lattice="-0.3432 -4.7294 2.2932 8.1719 -0.3436 -5.5346 1.0279 4.3846 9.1964" Properties=species:S:1:pos:R:3 pbc="T T T"
Pr 3.2029 -1.5585 3.3144
Pr 1.9972 0.0765 6.5058
Pr 5.6537 0.8701 2.6407
Pr 1.2020 1.4327 3.1347
Pr 6.8594 -0.7649 -0.5508
Pr 7.6546 -2.1211 2.8204
Tl 8.7348 1.0724 3.5190
Tl 4.9464 -2.8062 1.0022
Tl 0.1218 -1.7608 2.4361
Tl 3.9103 2.1178 4.9528
Ba 6.4311 -0.1660 6.6693
Ba 2.4255 -0.5223 -0.7142
```


Entry 18:
First-principles (PBE) data for a relaxed structure of Tl3Hg12O5, as listed in the Alexandria database.

- E_form (uncorrected): 28.7 meV per atom
- Crystal system: cubic

The structure in extended XYZ format:
```
80
Lattice="13.5719 0.0000 0.0000 -4.5240 12.7957 0.0000 -4.5240 -6.3979 11.0814" Properties=species:S:1:pos:R:3 pbc="T T T"
Tl 1.1310 6.3979 2.7704
Tl 7.9170 8.7971 1.3852
Tl 3.3930 7.1976 6.9259
Tl 1.1310 -0.7997 4.1555
Tl 5.6550 0.7997 4.1555
Tl -3.3930 -2.3992 9.6963
Tl 3.3930 0.0000 8.3111
Tl -3.3930 2.3992 9.6963
Tl -5.6550 6.3979 8.3111
Tl 10.1789 0.0000 2.7704
Tl -1.1310 5.5981 6.9259
Tl 7.9170 3.9987 1.3852
Hg 1.1586 1.2326 6.7065
Hg -0.3429 1.0490 2.2858
Hg -4.5086 5.2399 10.8470
Hg -1.4861 -0.1618 9.0300
Hg 9.0634 -2.8229 6.6607
Hg 8.7051 0.6949 5.3063
Hg 10.1513 3.2254 3.2549
Hg 4.1811 -1.7439 3.4893
Hg -4.1811 5.7030 5.7751
Hg 1.4861 1.6957 9.9157
Hg -1.9191 -0.6949 5.3063
Hg 7.1288 -1.0490 2.2858
Hg 3.0379 4.7022 1.1658
Hg 7.9446 -4.4051 9.9614
Hg 4.8668 5.3488 8.7956
Hg 2.2466 8.8148 4.6551
Hg 6.8014 11.6378 0.2344
Hg -0.7759 8.0936 1.1658
Hg -3.4206 10.8030 1.1200
Hg 6.4431 7.0927 5.7751
Hg 9.8238 6.2361 2.0514
Hg 5.6826 1.9928 1.1200
Hg 0.0154 3.9809 4.6551
Hg 0.3429 8.1418 7.5921
Hg -5.2999 0.1617 9.0300
Hg 1.9191 4.6540 7.5921
Hg -1.1033 7.6305 4.3749
Hg -2.6049 7.4469 8.7956
Hg 9.0325 1.1580 0.2344
Hg 2.2774 -2.4170 6.4263
Hg 1.4861 -1.8574 10.1958
Hg 5.2999 1.8574 10.1958
Hg 3.3653 5.1653 4.3749
Hg -5.6273 3.1725 7.8265
Hg -1.1586 -3.1725 7.8265
Hg 5.6826 9.5704 3.2549
Hg -1.1586 4.4051 9.9614
Hg 4.5086 2.4170 6.4263
Hg -0.7759 4.5404 0.8856
Hg 6.8014 3.5749 4.4207
Hg -2.2774 -5.2399 10.8470
Hg 3.0379 8.2553 0.8856
Hg -2.2774 2.8230 6.6607
Hg 5.6273 -1.2326 6.7065
Hg 5.2999 -1.6957 9.9157
Hg 6.0101 6.5596 2.0514
Hg -4.5394 9.2208 4.4207
Hg 2.6049 1.7439 3.4893
O -4.5240 3.1989 5.5407
O -2.2620 -3.1989 5.5407
O 1.1310 -3.1989 8.3111
O 1.1310 3.9987 9.6963
O -2.2620 6.3979 0.0000
O 3.3930 9.5968 2.7704
O 6.7860 0.0000 0.0000
O 5.6550 3.1989 8.3111
O 5.6550 -3.9987 9.6963
O -3.3930 7.1976 4.1555
O 5.6550 5.5981 4.1555
O 0.0000 0.0000 0.0000
O 7.9170 -0.7997 6.9259
O -1.1310 0.7997 6.9259
O 2.2620 3.1989 5.5407
O 4.5240 -3.1989 5.5407
O -1.1310 10.3965 1.3852
O 3.3930 2.3992 1.3852
O 4.5240 6.3979 0.0000
O -1.1310 3.1989 2.7704
```


Entry 19:
First-principles (PBE) data for a relaxed structure of VTeAs, as listed in the Alexandria database.

- E_form (uncorrected): -202.5 meV per atom
- Crystal system: monoclinic

The structure in extended XYZ format:
```
6
Lattice="-2.2247 -2.3205 -1.3514 2.2273 -4.1738 3.5002 -4.0349 4.4962 3.4213" Properties=species:S:1:pos:R:3 pbc="T T T"
Te -3.5724 1.7421 2.8898
Te -0.4600 -3.7402 2.6803
V -3.0940 -0.6098 1.6413
V -0.9384 -1.3884 3.9288
As -0.6107 -0.4030 1.6973
As -3.4217 -1.5952 3.8728
```


Entry 20:
First-principles (PBE) data for a relaxed structure of Li2TbGaPd4, as listed in the Alexandria database.

- Energy relative to the elements: -5.33 eV per formula unit
- Crystal system: trigonal

The structure in extended XYZ format:
```
8
Lattice="-1.6261 3.0517 2.7949 -1.2673 -1.1855 4.0936 5.9970 1.9939 4.8486" Properties=species:S:1:pos:R:3 pbc="T T T"
Pd 3.2902 1.4605 3.8561
Pd -0.1866 2.3996 7.8809
Pd 3.8755 2.3879 6.7205
Pd -0.7719 1.4721 5.0166
Ga 1.5518 1.9300 5.8685
Li 2.2128 2.8724 8.7607
Li 0.8908 0.9877 2.9764
Tb 0.0000 0.0000 0.0000
```


Entry 21:
First-principles (PBE) data for a relaxed structure of BaMgB2Te, as listed in the Alexandria database.

- E_form (uncorrected): 1114.9 meV per atom
- Crystal system: tetragonal

The structure in extended XYZ format:
```
5
Lattice="-2.8581 -2.8830 -2.4097 4.0995 0.3441 -5.2740 2.3972 -3.7304 1.6199" Properties=species:S:1:pos:R:3 pbc="T T T"
Mg 0.0000 0.0000 0.0000
B 1.1986 -1.8652 0.8100
B -1.4290 -1.4415 -1.2048
Ba 2.0498 0.1721 -2.6370
Te 1.8193 -3.1346 -3.0319
```